A plane-wave DFT calculation with PBE+U was carried out for RbCoMoO4 after structural relaxation.

Output
space group	P2_1/m (11)
energy	-85.12	eV/cell

Cell: 7.0194 6.0971 7.2461 Å, 90.00 112.03 90.00°
Each line ends with the local moment (μB).
Fractional coordinates of all 14 atoms:
O: 0.5044 0.2500 0.7485  0.02
O: 0.5715 0.2500 0.3654  0.03
O: 0.4285 0.7500 0.6346  0.03
O: 0.1413 0.9957 0.2844  0.01
O: 0.8587 0.0043 0.7156  0.01
O: 0.8587 0.4957 0.7156  0.01
O: 0.1413 0.5043 0.2844  0.01
O: 0.4956 0.7500 0.2515  0.02
Rb: 0.7448 0.7500 0.0274  0.00
Rb: 0.2552 0.2500 0.9726  0.00
Mo: 0.7014 0.2500 0.6354  -0.15
Mo: 0.2986 0.7500 0.3646  -0.15
Co: 0.6836 0.7500 0.5411  2.05
Co: 0.3164 0.2500 0.4589  2.05